# 1
Here is a relaxed structure of Pm2VSnO6 from Alexandria via LeMat-Bulk. Energies are from PBE+U.

a = 5.5564 Å, b = 6.0503 Å, c = 9.9664 Å
α = 90.00°, β = 123.33°, γ = 90.00°
Space group P2_1/c (No. 14)
One atom of each set of equivalent atoms:
Pm  0.2212  0.0563  0.2376
V  0.5000  0.0000  0.0000
Sn  0.0000  0.0000  0.5000
O  0.1675  0.1591  0.9599
O  0.2417  0.7269  0.9053
O  0.4143  0.0831  0.7818

Values from the calculation:
The calculation puts the uncorrected energy at -7.533 eV/atom. Its crystal system is monoclinic. The density comes out at 6.592 g/cm3.

# 2
Here is a relaxed structure of PmV2SnO8 from Alexandria via LeMat-Bulk. Energies are from PBE+U.

a = 5.8653 Å, b = 5.8653 Å, c = 6.5771 Å
α = 90.00°, β = 90.00°, γ = 120.00°
Space group P-3m1 (No. 164)
One atom of each set of equivalent atoms:
Pm  0.0000  0.0000  0.0000
V  0.3333  0.6667  0.3327
Sn  0.0000  0.0000  0.5000
O  0.1633  0.3265  0.2553
O  0.3333  0.6667  0.5809

Values from the calculation:
The calculation puts the uncorrected energy at -7.291 eV/atom. Its crystal system is trigonal. The density comes out at 4.183 g/cm3.